First-principles (PBE-GGA) data for an optimized crystal structure of La4Pr3Cd2, as listed in the Alexandria database.

## Properties
- DFT formation energy (eV per atom) = -0.063
- E (eV per atom) = -4.049
- M_tot (μB per formula unit) = 0.00

Cell lengths 6.189, 10.159, 10.159 Å; angles 71.36, 84.03, 84.03 degrees
Positions (direct):
La  0.540  0.054  0.816
La  0.960  0.184  0.946
La  0.460  0.946  0.184
La  0.040  0.816  0.054
La  0.610  0.816  0.594
La  0.890  0.406  0.184
La  0.390  0.184  0.406
La  0.110  0.594  0.816
Pr  0.081  0.974  0.676
Pr  0.419  0.324  0.026
Pr  0.919  0.026  0.324
Pr  0.581  0.676  0.974
Pr  0.250  0.378  0.622
Pr  0.750  0.622  0.378
Cd  0.188  0.729  0.466
Cd  0.312  0.534  0.271
Cd  0.812  0.271  0.534
Cd  0.688  0.466  0.729

First-principles (PBE-GGA) data for an optimized crystal structure of La5PrCd2, as listed in the Alexandria database.

## Properties
- DFT formation energy (eV per atom) = -0.136
- E (eV per atom) = -4.041
- M_tot (μB per formula unit) = 0.00

Cell lengths 5.073, 7.148, 14.298 Å; angles 90.00, 90.00, 90.00 degrees
Positions (direct):
La  0.000  0.000  0.000
La  0.000  0.500  0.500
La  0.000  0.495  0.749
La  0.000  0.505  0.251
La  0.000  0.005  0.249
La  0.000  0.995  0.751
La  0.500  0.255  0.876
La  0.500  0.745  0.124
La  0.500  0.245  0.376
La  0.500  0.755  0.624
Pr  0.000  0.000  0.500
Pr  0.000  0.500  0.000
Cd  0.500  0.249  0.624
Cd  0.500  0.751  0.376
Cd  0.500  0.251  0.124
Cd  0.500  0.749  0.876

First-principles (PBE-GGA) data for an optimized crystal structure of LaPrCd4, as listed in the Alexandria database.

## Properties
- DFT formation energy (eV per atom) = -0.363
- E (eV per atom) = -2.591
- M_tot (μB per formula unit) = 0.00

Cell lengths 3.478, 6.208, 8.896 Å; angles 90.01, 89.99, 124.02 degrees
Positions (direct):
La  0.501  0.497  0.998
Pr  0.001  0.997  0.498
Cd  0.501  0.997  0.166
Cd  0.501  0.997  0.830
Cd  0.001  0.497  0.663
Cd  0.001  0.497  0.333

First-principles (PBE-GGA) data for an optimized crystal structure of La8Pr3Cd2, as listed in the Alexandria database.

## Properties
- DFT formation energy (eV per atom) = -0.070
- E (eV per atom) = -4.346
- M_tot (μB per formula unit) = 0.00

Cell lengths 7.131, 10.195, 9.685 Å; angles 73.93, 42.74, 72.60 degrees
Positions (direct):
La  0.348  0.347  0.032
La  0.652  0.653  0.968
La  0.018  0.307  0.879
La  0.982  0.693  0.121
La  0.763  0.182  0.557
La  0.446  0.148  0.370
La  0.554  0.852  0.630
La  0.237  0.818  0.443
Pr  0.000  0.500  0.500
Pr  0.173  0.996  0.092
Pr  0.827  0.004  0.908
Cd  0.625  0.438  0.325
Cd  0.375  0.562  0.675

Which value of DFT formation energy does entry 4 give?
-0.070 eV per atom

What is the formula in the fourth record?
La8Pr3Cd2

Number 2 is which compound?
La5PrCd2

What is the E in the third record?
-2.591 eV per atom